First-principles (GGA-PBE) data for Na2Cr2AsSe6 after structural relaxation, as listed in Alexandria via LeMat-Bulk.

Properties
Uncorrected formation energy, eV per formula unit: -6.96
Space group: C2/m

Geometry as POSCAR:
```
Na2Cr2AsSe6
1.0
3.238 -5.640 0.000
3.238 5.640 0.000
-2.079 0.000 7.030
Na Cr As Se
2 2 1 6
direct
0.162 0.838 0.000
0.838 0.162 0.000
0.333 0.667 0.500
0.667 0.333 0.500
0.000 0.000 0.500
0.063 0.408 0.697
0.281 0.281 0.302
0.408 0.063 0.697
0.592 0.937 0.303
0.719 0.719 0.698
0.937 0.592 0.303
```

First-principles (GGA-PBE) data for WCl after structural relaxation, as listed in Alexandria via LeMat-Bulk.

Properties
Uncorrected formation energy, eV per formula unit: 1.39
Space group: Fddd

Geometry as POSCAR:
```
WCl
1.0
0.000 4.545 4.933
3.668 0.000 4.933
3.668 4.545 0.000
W Cl
4 4
direct
0.005 0.745 0.005
0.255 0.995 0.255
0.745 0.005 0.745
0.995 0.255 0.995
0.229 0.229 0.521
0.479 0.479 0.771
0.521 0.521 0.229
0.771 0.771 0.479
```

First-principles (GGA-PBE) data for Mg3Cd5Ag2 after structural relaxation, as listed in Alexandria via LeMat-Bulk.

Properties
ΔE_f, eV per atom: -0.014
Space group: Ibam

Geometry as POSCAR:
```
Mg3Cd5Ag2
1.0
-4.225 5.683 4.840
4.225 -5.683 4.840
4.225 5.683 -4.840
Mg Cd Ag
6 10 4
direct
0.125 0.743 0.868
0.250 0.250 0.000
0.375 0.243 0.617
0.625 0.757 0.383
0.750 0.750 0.000
0.875 0.257 0.132
0.002 0.250 0.752
0.128 0.393 0.520
0.250 0.750 0.500
0.372 0.893 0.265
0.498 0.250 0.248
0.502 0.750 0.752
0.628 0.107 0.735
0.750 0.250 0.500
0.872 0.607 0.480
0.998 0.750 0.248
0.121 0.068 0.188
0.379 0.568 0.947
0.621 0.432 0.053
0.879 0.932 0.812
```

First-principles (GGA-PBE) data for CsRb2WBr6 after structural relaxation, as listed in Alexandria via LeMat-Bulk.

Properties
Uncorrected formation energy, eV per formula unit: -11.08
Space group: Fm-3m

Geometry as POSCAR:
```
CsRb2WBr6
1.0
0.000 5.959 5.959
5.959 0.000 5.959
5.959 5.959 0.000
Cs Rb W Br
1 2 1 6
direct
0.000 0.000 0.000
0.250 0.250 0.250
0.750 0.750 0.750
0.500 0.500 0.500
0.282 0.282 0.718
0.282 0.718 0.282
0.282 0.718 0.718
0.718 0.282 0.282
0.718 0.282 0.718
0.718 0.718 0.282
```

First-principles (GGA-PBE) data for SbTe3P after structural relaxation, as listed in Alexandria via LeMat-Bulk.

Properties
Uncorrected formation energy, eV per formula unit: 5.27
Space group: Pm-3m

Geometry as POSCAR:
```
SbTe3P
1.0
5.752 0.000 0.000
0.000 5.752 0.000
0.000 0.000 5.752
Sb Te P
1 3 1
direct
0.000 0.000 0.000
0.000 0.000 0.500
0.000 0.500 0.000
0.500 0.000 0.000
0.500 0.500 0.500
```

First-principles (GGA-PBE) data for KZr2Hg after structural relaxation, as listed in Alexandria via LeMat-Bulk.

Properties
ΔE_f, eV per atom: 0.337
Space group: C2/m

Geometry as POSCAR:
```
KZr2Hg
1.0
6.643 -1.561 0.000
6.643 1.561 0.000
-2.057 0.000 5.154
K Zr Hg
1 2 1
direct
0.000 0.000 0.000
0.220 0.220 0.703
0.780 0.780 0.297
0.500 0.500 0.500
```

First-principles (GGA-PBE) data for CaHg2Rh after structural relaxation, as listed in Alexandria via LeMat-Bulk.

Properties
ΔE_f, eV per atom: -0.059
Space group: C2/m

Geometry as POSCAR:
```
CaHg2Rh
1.0
2.963 -5.106 0.000
2.963 5.106 0.000
-1.817 0.000 2.917
Ca Hg Rh
1 2 1
direct
0.000 0.000 0.000
0.000 0.500 0.500
0.500 0.000 0.500
0.500 0.500 0.000
```

First-principles (GGA-PBE) data for Pm3Ho2Ge3 after structural relaxation, as listed in Alexandria via LeMat-Bulk.

Properties
ΔE_f, eV per atom: -0.536
Space group: Immm

Geometry as POSCAR:
```
Pm3Ho2Ge3
1.0
-2.018 2.472 10.374
2.018 -2.472 10.374
2.018 2.472 -10.374
Pm Ho Ge
3 2 3
direct
0.000 0.000 0.000
0.386 0.886 0.500
0.614 0.114 0.500
0.233 0.233 0.000
0.767 0.767 0.000
0.132 0.632 0.500
0.500 0.500 0.000
0.868 0.368 0.500
```

First-principles (GGA-PBE) data for PmNdGdY after structural relaxation, as listed in Alexandria via LeMat-Bulk.

Properties
ΔE_f, eV per atom: 0.116
Space group: F-43m

Geometry as POSCAR:
```
PmNdGdY
1.0
0.000 4.080 4.080
4.080 0.000 4.080
4.080 4.080 0.000
Pm Nd Gd Y
1 1 1 1
direct
0.000 0.000 0.000
0.750 0.750 0.750
0.250 0.250 0.250
0.500 0.500 0.500
```

First-principles (GGA-PBE) data for Ca2FeTc after structural relaxation, as listed in Alexandria via LeMat-Bulk.

Properties
ΔE_f, eV per atom: 0.347
Space group: P4mm

Geometry as POSCAR:
```
Ca2FeTc
1.0
3.195 0.000 0.000
0.000 3.195 0.000
0.000 0.000 8.766
Ca Fe Tc
2 1 1
direct
0.000 0.000 0.000
0.500 0.500 0.393
0.000 0.000 0.639
0.500 0.500 0.744
```

First-principles (GGA-PBE) data for TaPW after structural relaxation, as listed in Alexandria via LeMat-Bulk.

Properties
ΔE_f, eV per atom: -0.022
Space group: P3m1

Geometry as POSCAR:
```
TaPW
1.0
4.359 0.000 0.000
-2.180 3.775 0.000
0.000 0.000 2.879
Ta P W
1 1 1
direct
0.000 0.000 0.000
0.333 0.667 0.561
0.667 0.333 0.545
```

First-principles (GGA-PBE) data for ScCN3 after structural relaxation, as listed in Alexandria via LeMat-Bulk.

Properties
Uncorrected formation energy, eV per formula unit: 6.26
Space group: Pm-3m

Geometry as POSCAR:
```
ScCN3
1.0
3.402 0.000 0.000
0.000 3.402 0.000
0.000 0.000 3.402
Sc C N
1 1 3
direct
0.000 0.000 0.000
0.500 0.500 0.500
0.000 0.500 0.500
0.500 0.000 0.500
0.500 0.500 0.000
```

Respective density values: 4.518; 8.857; 6.078; 3.794; 4.673; 6.557; 10.238; 7.881; 6.547; 4.341; 13.868; 4.175 g/cm³.